Record 1
The following is a DFT calculation (PBE) of a geometry-optimized Ti4OsRh structure.

Structure (POSCAR):
```
Ti4OsRh
1.0
-0.686 2.322 3.540
-2.856 -1.320 2.910
3.803 -3.185 5.424
Ti Os Rh
4 1 1
Cartesian
1.949 -1.877 4.206
2.016 -2.423 7.175
-1.688 -0.307 7.667
-1.755 0.239 4.699
0.000 0.000 0.000
0.131 -1.092 5.937
```

Properties
Symmetry: C2/m

Record 2
The following is a DFT calculation (PBE) of a geometry-optimized TiOsRh6 structure.

Structure (POSCAR):
```
TiOsRh6
1.0
-0.038 -0.028 -3.866
2.336 -4.905 0.013
-4.904 -2.335 0.065
Os Rh Ti
1 6 1
Cartesian
-1.303 -3.634 -1.894
1.149 -2.466 -1.927
-1.917 -5.404 0.058
0.500 -4.253 0.026
-0.651 -1.836 0.020
-2.471 -1.182 -1.901
-3.068 -2.987 0.052
-0.019 -0.014 -1.933
```

Properties
Symmetry: P4/mmm

| no. | energy of formation (meV per atom) | total moment (Bohr magnetons per cell) |
| --- | --- | --- |
| 1 | -201 | 0.000 |
| 2 | -269 | 0.000 |